# 1
The following is a GGA-PBE calculation of Cu4SeCl after structural relaxation, from the Alexandria database.

The structure in POSCAR format:
```
Cu4SeCl
1.0
1.1166 -4.7327 1.3795
-3.3340 -3.7160 -0.7900
0.9145 -3.5096 -3.5206
Cu Se Cl
4 1 1
Direct
0.8738 0.3754 0.3754
0.3754 0.3754 0.8738
0.3754 0.8738 0.3754
0.3754 0.3754 0.3754
0.7500 0.7500 0.7500
0.0000 0.0000 0.0000
```

Values from the calculation:
ΔE_f (raw) = 324.1 meV per atom
Electronic total energy = -3.30 eV per atom
Calculated volume = 15.22 Å³/atom

# 2
The following is a GGA-PBE calculation of CuSeCl4 after structural relaxation, from the Alexandria database.

The structure in POSCAR format:
```
CuSeCl4
1.0
0.0000 4.1491 4.1491
4.1491 0.0000 4.1491
4.1491 4.1491 0.0000
Cu Se Cl
1 1 4
Direct
0.7500 0.7500 0.7500
0.0000 0.0000 0.0000
0.8730 0.3757 0.3757
0.3757 0.3757 0.8730
0.3757 0.8730 0.3757
0.3757 0.3757 0.3757
```

Values from the calculation:
ΔE_f (raw) = 968.4 meV per atom
Electronic total energy = -1.53 eV per atom
Calculated volume = 23.81 Å³/atom

# 3
The following is a GGA-PBE calculation of CuSeCl after structural relaxation, from the Alexandria database.

The structure in POSCAR format:
```
CuSeCl
1.0
-1.8584 5.0225 5.0952
3.0346 -4.4604 5.5035
4.3644 4.3274 1.1006
Cu Se Cl
4 4 4
Direct
0.3307 0.7502 0.3323
0.3307 0.7498 0.8323
0.6693 0.2498 0.6677
0.6693 0.2502 0.1677
0.4285 0.3626 0.0362
0.4285 0.1374 0.5362
0.5715 0.6374 0.9638
0.5715 0.8626 0.4638
0.1362 0.8861 0.1784
0.8638 0.3861 0.3216
0.8638 0.1139 0.8216
0.1362 0.6139 0.6784
```

Values from the calculation:
ΔE_f (raw) = -301.2 meV per atom
Electronic total energy = -3.44 eV per atom
Calculated volume = 26.95 Å³/atom

# 4
The following is a GGA-PBE calculation of CuSe4Cl after structural relaxation, from the Alexandria database.

The structure in POSCAR format:
```
CuSe4Cl
1.0
5.3689 1.5939 0.8169
1.1353 4.8198 2.7411
2.2400 -0.1591 5.1952
Cu Se Cl
1 4 1
Direct
0.0000 0.0000 0.0000
0.8724 0.3759 0.3759
0.3759 0.3759 0.8724
0.3759 0.8724 0.3759
0.3759 0.3759 0.3759
0.7500 0.7500 0.7500
```

Values from the calculation:
ΔE_f (raw) = 591.6 meV per atom
Electronic total energy = -2.72 eV per atom
Calculated volume = 21.37 Å³/atom

# 5
The following is a GGA-PBE calculation of Cu5Se3Cl12 after structural relaxation, from the Alexandria database.

The structure in POSCAR format:
```
Cu5Se3Cl12
1.0
13.5254 0.0000 0.0000
-4.5085 12.7519 0.0000
-4.5085 -6.3759 11.0434
Se Cu Cl
12 20 48
Direct
0.7500 0.3750 0.1250
0.8750 0.7500 0.1250
0.3750 0.7500 0.6250
0.2500 0.1250 0.3750
0.8750 0.1250 0.2500
0.3750 0.6250 0.2500
0.6250 0.3750 0.7500
0.1250 0.8750 0.7500
0.7500 0.8750 0.6250
0.6250 0.2500 0.3750
0.1250 0.2500 0.8750
0.2500 0.6250 0.8750
0.1250 0.3750 0.2500
0.0000 0.5000 0.0000
0.0000 0.0000 0.0000
0.3750 0.2500 0.1250
0.5000 0.0000 0.5000
0.5000 0.5000 0.0000
0.1250 0.7500 0.3750
0.7500 0.1250 0.8750
0.7500 0.6250 0.3750
0.3750 0.1250 0.7500
0.6250 0.8750 0.2500
0.5000 0.5000 0.5000
0.5000 0.0000 0.0000
0.0000 0.0000 0.5000
0.2500 0.3750 0.6250
0.2500 0.8750 0.1250
0.0000 0.5000 0.5000
0.8750 0.2500 0.6250
0.6250 0.7500 0.8750
0.8750 0.6250 0.7500
0.6841 0.1356 0.0117
0.3277 0.5117 0.3762
0.9883 0.3644 0.3159
0.5117 0.1841 0.1356
0.5485 0.6841 0.6723
0.9883 0.6238 0.1723
0.3277 0.8159 0.4515
0.1238 0.9515 0.1356
0.6238 0.9883 0.6723
0.6841 0.5485 0.1723
0.8159 0.4883 0.3644
0.8277 0.8762 0.0117
0.1356 0.6841 0.5117
0.3644 0.3762 0.0485
0.0485 0.8762 0.3644
0.4515 0.1356 0.6238
0.0485 0.1723 0.1841
0.4883 0.6723 0.1238
0.8277 0.9515 0.3159
0.1356 0.4515 0.1238
0.3644 0.9883 0.8159
0.6238 0.6356 0.4515
0.8762 0.8277 0.5117
0.8159 0.3277 0.9515
0.3762 0.3644 0.5485
0.1238 0.1723 0.4883
0.1841 0.6723 0.0485
0.1723 0.0485 0.6841
0.6356 0.0117 0.1841
0.8644 0.5485 0.8762
0.5117 0.3277 0.8762
0.5485 0.8644 0.3762
0.9515 0.8277 0.8159
0.9515 0.1238 0.6356
0.8644 0.3159 0.4883
0.1723 0.1238 0.9883
0.6356 0.6238 0.9515
0.3762 0.0117 0.3277
0.3159 0.4515 0.8277
0.1841 0.5117 0.6356
0.8762 0.0485 0.8644
0.6723 0.1841 0.5485
0.4883 0.8159 0.8644
0.0117 0.3762 0.8277
0.4515 0.3159 0.3277
0.0117 0.6356 0.6841
0.6723 0.4883 0.6238
0.3159 0.8644 0.9883
```

Values from the calculation:
ΔE_f (raw) = -122.8 meV per atom
Electronic total energy = -2.78 eV per atom
Calculated volume = 23.81 Å³/atom

# 6
The following is a GGA-PBE calculation of CuSe2Cl6 after structural relaxation, from the Alexandria database.

The structure in POSCAR format:
```
CuSe2Cl6
1.0
10.4560 -2.2084 -1.0509
0.2876 7.5714 0.4297
-0.9771 -1.7005 7.3312
Cu Se Cl
2 4 12
Direct
0.2500 0.0231 0.9769
0.7500 0.9769 0.0231
0.3398 0.4945 0.7266
0.1602 0.2734 0.5055
0.6602 0.5055 0.2734
0.8398 0.7266 0.4945
0.3810 0.6940 0.5549
0.1190 0.4451 0.3060
0.6190 0.3060 0.4451
0.8810 0.5549 0.6940
0.8656 0.9936 0.3067
0.6344 0.6933 0.0064
0.1344 0.0064 0.6933
0.3656 0.3067 0.9936
0.2476 0.7278 0.9544
0.2524 0.0456 0.2722
0.7524 0.2722 0.0456
0.7476 0.9544 0.7278
```

Values from the calculation:
ΔE_f (raw) = -256.3 meV per atom
Electronic total energy = -2.72 eV per atom
Calculated volume = 32.57 Å³/atom